(1)
This record from the Alexandria database describes a PBEsol-optimized structure of LaZr3Mn. The functional is SCAN.

Unit cell a=4.906 b=4.906 c=4.906 alpha=90.00 beta=90.00 gamma=90.00
Fractional positions:
Mn (0.000, 0.000, 0.000)
Zr (0.000, 0.500, 0.000)
Zr (0.000, 0.000, 0.500)
Zr (0.500, 0.000, 0.000)
La (0.500, 0.500, 0.500)

Output
- Formation energy: 1.0 eV/f.u.
- Crystal system: cubic

---

(2)
This record from the Alexandria database describes a PBEsol-optimized structure of Si2TeAu. The functional is SCAN.

Unit cell a=3.000 b=3.510 c=7.264 alpha=90.00 beta=90.00 gamma=90.00
Fractional positions:
Au (0.500, 0.500, 0.500)
Si (0.000, 0.000, 0.707)
Si (0.000, 0.000, 0.293)
Te (0.500, 0.500, 0.000)

Output
- Crystal system: orthorhombic
- ΔE_f (raw): 0.5235 eV per atom

---

In order of appearance, size of the total moment = 0.0 0.0 μB/f.u..